Entry 1:
11
Lattice="2.472 -4.260 0.000 2.472 4.260 0.000 -1.816 0.000 7.321" Properties=species:S:1:pos:R:3 comment="Co2Hg2AsO6 (PBE+U, relaxed)" spacegroup="No. 12" pbc="T T T"
Co 2.472 2.838 0.000
Co 2.472 -2.838 0.000
Hg 1.564 2.817 3.660
Hg 1.564 -2.817 3.660
As 2.472 0.000 0.000
O -0.960 0.000 6.339
O 1.662 1.396 0.980
O 1.465 1.396 6.341
O 1.662 -1.396 0.980
O 1.465 -1.396 6.341
O 4.087 0.000 0.982

---

Entry 2:
9
Lattice="4.943 0.000 0.000 -2.471 4.280 0.000 0.000 0.000 4.982" Properties=species:S:1:pos:R:3 comment="CoHgAsO6 (PBE+U, relaxed)" spacegroup="No. 149" pbc="T T T"
Co 0.000 0.000 0.000
Hg 2.471 1.427 2.491
As 0.000 2.854 0.000
O -0.579 1.430 1.044
O -1.522 3.065 3.938
O 0.579 1.430 3.938
O -0.944 4.067 1.044
O 1.522 3.065 1.044
O 0.944 4.067 3.938

---

| no. | uncorrected energy (eV per atom) | size of the total moment (Bohr magnetons per cell) |
| --- | --- | --- |
| 1 | -4.98 | 0.0 |
| 2 | -5.12 | 2.0 |